VASP calculation (meta-GGA SCAN) on a crystal of TcPH2 relaxed with PBEsol.

Cell lengths 5.0673, 5.0673, 5.0673 Å; angles 90.00, 90.00, 90.00 degrees
With the nearest neighbours (Å) after each atom.
Space group Fm-3m (No. 225)
Unique sites:
Tc  0.0000  0.0000  0.0000 x4  8 H 2.19
P  0.0000  0.0000  0.5000 x4  8 H 2.19
H  0.2500  0.2500  0.2500 x8  4 Tc 2.19, 4 P 2.19

---

VASP calculation (meta-GGA SCAN) on a crystal of Co2IrCl relaxed with PBEsol.

Cell lengths 8.0106, 2.6637, 7.0668 Å; angles 90.00, 124.35, 90.00 degrees
With the nearest neighbours (Å) after each atom.
Space group C2/m (No. 12)
Unique sites:
Co  0.1418  0.0000  0.3285 x4  2 Cl 2.34, 3 Ir 2.40-2.47, 2 Co 2.43
Ir  0.0000  0.5000  0.5000 x2  6 Co 2.40-2.47, 2 Ir 2.66
Cl  0.0000  0.5000  0.0000 x2  4 Co 2.34

Calculated values
uncorrected formation energy: 0.4256 eV/atom

---

Calculated raw total energy in order - -194.15; -223.97 eV/cell
Calculated magnetic moment in order - 0.45; 4.68 μB per formula unit